Record 1
Li3Cd3Sn2: relaxed, PBE.

The space group is R32 (No. 155, hexagonal axes) and the conventional cell measures 7.7649, 7.7649 and 9.5820 Å, with angles of 90.00, 90.00 and 120.00 degrees. Symmetry generates all atoms from Li at (0.0000, 0.2657, 0.0000), Cd at (0.0000, 0.7539, 0.5000) and Sn at (0.0000, 0.0000, 0.2340).

For the volume, the calculation gives 500.33 Å³/cell. The value obtained for the formation energy from the elements is -0.219 eV/atom. The density is 5.93 g/cm3. For the density of states at the Fermi level, the calculation gives 9.22 states/eV/cell.


Record 2
Li2CdSn: relaxed, PBE.

The space group is P4/mmm (No. 123) and the conventional cell measures 3.3460, 3.3460 and 6.8491 Å, with angles of 90.00, 90.00 and 90.00 degrees. Symmetry generates all atoms from Li at (0.0000, 0.0000, 0.2478), Cd at (0.5000, 0.5000, 0.0000) and Sn at (0.5000, 0.5000, 0.5000).

For the volume, the calculation gives 76.68 Å³/cell. The value obtained for the formation energy from the elements is -0.299 eV/atom. The density is 5.31 g/cm3. For the density of states at the Fermi level, the calculation gives 0.82 states/eV/cell.


Record 3
Li8CdSn2: relaxed, PBE.

The space group is P-1 (No. 2) and the conventional cell measures 4.8017, 6.1428 and 7.9862 Å, with angles of 111.67, 106.69 and 90.80 degrees. Symmetry generates all atoms from Li at (0.1230, 0.4111, 0.2794), Li at (0.1650, 0.8764, 0.2815), Li at (0.2736, 0.0868, 0.0000), Li at (0.2961, 0.2976, 0.5952), Cd at (0.5000, 0.5000, 0.0000) and Sn at (0.3183, 0.8192, 0.6418).

For the volume, the calculation gives 207.78 Å³/cell. The value obtained for the formation energy from the elements is -0.244 eV/atom. The density is 3.24 g/cm3. For the density of states at the Fermi level, the calculation gives 2.43 states/eV/cell.


Record 4
Li5CdSn2: relaxed, PBE.

The space group is Fmm2 (No. 42) and the conventional cell measures 9.2588, 9.2857 and 6.9392 Å, with angles of 90.00, 90.00 and 90.00 degrees. Symmetry generates all atoms from Li at (0.0000, 0.0000, 0.0000), Li at (0.0000, 0.2505, 0.2489), Li at (0.2494, 0.0000, 0.7488), Cd at (0.0000, 0.0000, 0.4977) and Sn at (0.2500, 0.2500, 0.4989).

For the volume, the calculation gives 596.59 Å³/cell. The value obtained for the formation energy from the elements is -0.319 eV/atom. The density is 4.28 g/cm3. For the density of states at the Fermi level, the calculation gives 6.30 states/eV/cell.


Record 5
Li7Cd2Sn3: relaxed, PBE.

The space group is P2/m (No. 10) and the conventional cell measures 4.6132, 4.5209 and 11.8587 Å, with angles of 90.00, 101.06 and 90.00 degrees. Symmetry generates all atoms from Li at (0.0000, 0.0000, 0.0000), Li at (0.0719, 0.5000, 0.1436), Li at (0.2212, 0.5000, 0.4437), Li at (0.4313, 0.0000, 0.8592), Cd at (0.3529, 0.5000, 0.7048), Sn at (0.1467, 0.0000, 0.3012) and Sn at (0.5000, 0.5000, 0.0000).

For the volume, the calculation gives 242.73 Å³/cell. The value obtained for the formation energy from the elements is -0.225 eV/atom. The density is 4.31 g/cm3. For the density of states at the Fermi level, the calculation gives 5.34 states/eV/cell.


Record 6
Li2Cd3Sn: relaxed, PBE.

The space group is C2/m (No. 12) and the conventional cell measures 12.9232, 4.4724 and 9.5394 Å, with angles of 90.00, 114.64 and 90.00 degrees. Symmetry generates all atoms from Li at (0.0302, 0.0000, 0.3705), Li at (0.2138, 0.5000, 0.3710), Cd at (0.0360, 0.5000, 0.8623), Cd at (0.1207, 0.0000, 0.1337), Cd at (0.2073, 0.0000, 0.8733) and Sn at (0.1297, 0.5000, 0.6105).

For the volume, the calculation gives 501.16 Å³/cell. The value obtained for the formation energy from the elements is -0.180 eV/atom. The density is 6.23 g/cm3. For the density of states at the Fermi level, the calculation gives 7.28 states/eV/cell.


Record 7
Li6Cd3Sn: relaxed, PBE.

The space group is Cmc2_1 (No. 36) and the conventional cell measures 9.1673, 16.9574 and 5.0736 Å, with angles of 90.00, 90.00 and 90.00 degrees. Symmetry generates all atoms from Li at (0.0000, 0.0584, 0.0000), Li at (0.0000, 0.2954, 0.2782), Li at (0.1534, 0.4575, 0.4218), Li at (0.2413, 0.1999, 0.1003), Cd at (0.0000, 0.3953, 0.8604), Cd at (0.1711, 0.0885, 0.4943) and Sn at (0.0000, 0.2172, 0.7561).

For the volume, the calculation gives 788.71 Å³/cell. The value obtained for the formation energy from the elements is -0.192 eV/atom. The density is 4.19 g/cm3. For the density of states at the Fermi level, the calculation gives 9.70 states/eV/cell.


Record 8
LiCd2Sn3: relaxed, PBE.

The space group is Cmmm (No. 65) and the conventional cell measures 4.7184, 13.3988 and 4.6029 Å, with angles of 90.00, 90.00 and 90.00 degrees. Symmetry generates all atoms from Li at (0.0000, 0.0000, 0.0000), Cd at (0.0000, 0.3362, 0.0000), Sn at (0.0000, 0.1631, 0.5000) and Sn at (0.0000, 0.5000, 0.5000).

For the volume, the calculation gives 291.00 Å³/cell. The value obtained for the formation energy from the elements is -0.071 eV/atom. The density is 6.71 g/cm3. For the density of states at the Fermi level, the calculation gives 3.47 states/eV/cell.


Record 9
LiCd2Sn2: relaxed, PBE.

The space group is I4/mmm (No. 139) and the conventional cell measures 4.6671, 4.6671 and 12.6873 Å, with angles of 90.00, 90.00 and 90.00 degrees. Symmetry generates all atoms from Li at (0.0000, 0.0000, 0.0000), Cd at (0.0000, 0.5000, 0.2500) and Sn at (0.0000, 0.0000, 0.3898).

For the volume, the calculation gives 276.36 Å³/cell. The value obtained for the formation energy from the elements is -0.005 eV/atom. The density is 5.64 g/cm3. For the density of states at the Fermi level, the calculation gives 2.42 states/eV/cell.


Record 10
Li6Cd2Sn3: relaxed, PBE.

The space group is I4/mmm (No. 139) and the conventional cell measures 4.6005, 4.6005 and 23.9277 Å, with angles of 90.00, 90.00 and 90.00 degrees. Symmetry generates all atoms from Li at (0.0000, 0.0000, 0.2407), Li at (0.0000, 0.5000, 0.0614), Cd at (0.0000, 0.0000, 0.1284), Sn at (0.0000, 0.0000, 0.3568) and Sn at (0.0000, 0.0000, 0.5000).

For the volume, the calculation gives 506.43 Å³/cell. The value obtained for the formation energy from the elements is -0.098 eV/atom. The density is 4.08 g/cm3. For the density of states at the Fermi level, the calculation gives 8.64 states/eV/cell.


Record 11
LiCd2Sn: relaxed, PBE.

The space group is Cmcm (No. 63) and the conventional cell measures 6.1118, 11.7237 and 4.9144 Å, with angles of 90.00, 90.00 and 90.00 degrees. Symmetry generates all atoms from Li at (0.0000, 0.1663, 0.2500), Cd at (0.2420, 0.0818, 0.7500) and Sn at (0.0000, 0.3302, 0.7500).

For the volume, the calculation gives 352.13 Å³/cell. The value obtained for the formation energy from the elements is -0.163 eV/atom. The density is 6.61 g/cm3. For the density of states at the Fermi level, the calculation gives 3.56 states/eV/cell.


Record 12
LiCd6Sn2: relaxed, PBE.

The space group is C2/m (No. 12) and the conventional cell measures 13.6450, 4.4857 and 7.1557 Å, with angles of 90.00, 109.09 and 90.00 degrees. Symmetry generates all atoms from Li at (0.0000, 0.0000, 0.0000), Cd at (0.1122, 0.0000, 0.6737), Cd at (0.1677, 0.5000, 0.0011), Cd at (0.2223, 0.0000, 0.3279) and Sn at (0.0565, 0.5000, 0.3224).

For the volume, the calculation gives 413.90 Å³/cell. The value obtained for the formation energy from the elements is -0.049 eV/atom. The density is 7.37 g/cm3. For the density of states at the Fermi level, the calculation gives 6.60 states/eV/cell.


Record 13
Li2Cd6Sn3: relaxed, PBE.

The space group is C2/c (No. 15) and the conventional cell measures 9.5426, 6.1061 and 18.6554 Å, with angles of 90.00, 102.42 and 90.00 degrees. Symmetry generates all atoms from Li at (0.0227, 0.2425, 0.0220), Cd at (0.0494, 0.4081, 0.6290), Cd at (0.1833, 0.0747, 0.9113), Cd at (0.2477, 0.4214, 0.4331), Sn at (0.0000, 0.0885, 0.7500) and Sn at (0.1776, 0.3493, 0.2673).

For the volume, the calculation gives 1061.57 Å³/cell. The value obtained for the formation energy from the elements is -0.036 eV/atom. The density is 6.54 g/cm3. For the density of states at the Fermi level, the calculation gives 16.69 states/eV/cell.


Record 14
Li3CdSn: relaxed, PBE.

The space group is P-1 (No. 2) and the conventional cell measures 4.6235, 5.8017 and 7.6691 Å, with angles of 71.59, 72.60 and 89.98 degrees. Symmetry generates all atoms from Li at (0.0000, 0.0000, 0.0000), Li at (0.0000, 0.5000, 0.0000), Li at (0.2012, 0.2856, 0.5970), Li at (0.3987, 0.1198, 0.2034), Cd at (0.1999, 0.7847, 0.5999) and Sn at (0.3981, 0.6228, 0.2050).

For the volume, the calculation gives 185.24 Å³/cell. The value obtained for the formation energy from the elements is -0.321 eV/atom. The density is 4.52 g/cm3. For the density of states at the Fermi level, the calculation gives 2.66 states/eV/cell.


Record 15
Li5Cd2Sn: relaxed, PBE.

The space group is I4/mmm (No. 139) and the conventional cell measures 4.7185, 4.7185 and 13.0600 Å, with angles of 90.00, 90.00 and 90.00 degrees. Symmetry generates all atoms from Li at (0.0000, 0.0000, 0.0000), Li at (0.0000, 0.5000, 0.1215), Cd at (0.0000, 0.0000, 0.2523) and Sn at (0.0000, 0.0000, 0.5000).

For the volume, the calculation gives 290.77 Å³/cell. The value obtained for the formation energy from the elements is -0.315 eV/atom. The density is 4.32 g/cm3. For the density of states at the Fermi level, the calculation gives 3.85 states/eV/cell.


Record 16
Li2CdSn: relaxed, PBE.

The space group is P4/mmm (No. 123) and the conventional cell measures 4.6366, 4.6366 and 3.5636 Å, with angles of 90.00, 90.00 and 90.00 degrees. Symmetry generates all atoms from Li at (0.0000, 0.5000, 0.0000), Cd at (0.0000, 0.0000, 0.5000) and Sn at (0.5000, 0.5000, 0.5000).

For the volume, the calculation gives 76.61 Å³/cell. The value obtained for the formation energy from the elements is -0.303 eV/atom. The density is 5.31 g/cm3. For the density of states at the Fermi level, the calculation gives 1.34 states/eV/cell.


Record 17
LiCd3Sn2: relaxed, PBE.

The space group is C2/c (No. 15) and the conventional cell measures 11.2813, 6.0883 and 9.3485 Å, with angles of 90.00, 115.76 and 90.00 degrees. Symmetry generates all atoms from Li at (0.0000, 0.2384, 0.2500), Cd at (0.0000, 0.2631, 0.7500), Cd at (0.1519, 0.4992, 0.0731) and Sn at (0.1552, 0.0020, 0.5778).

For the volume, the calculation gives 578.26 Å³/cell. The value obtained for the formation energy from the elements is -0.045 eV/atom. The density is 6.68 g/cm3. For the density of states at the Fermi level, the calculation gives 9.54 states/eV/cell.


Record 18
LiCd2Sn2: relaxed, PBE.

The space group is P4/mbm (No. 127) and the conventional cell measures 8.3285, 8.3285 and 3.7296 Å, with angles of 90.00, 90.00 and 90.00 degrees. Symmetry generates all atoms from Li at (0.0000, 0.0000, 0.0000), Cd at (0.1350, 0.3650, 0.5000) and Sn at (0.1671, 0.6671, 0.0000).

For the volume, the calculation gives 258.70 Å³/cell. The value obtained for the formation energy from the elements is 0.014 eV/atom. The density is 6.02 g/cm3. For the density of states at the Fermi level, the calculation gives 2.28 states/eV/cell.


Record 19
Li3Cd4Sn4: relaxed, PBE.

The space group is Immm (No. 71) and the conventional cell measures 3.1855, 4.7506 and 34.5906 Å, with angles of 90.00, 90.00 and 90.00 degrees. Symmetry generates all atoms from Li at (0.0000, 0.0000, 0.0000), Li at (0.0000, 0.5000, 0.1250), Cd at (0.0000, 0.0000, 0.4599), Cd at (0.0000, 0.5000, 0.3294), Sn at (0.0000, 0.0000, 0.2778) and Sn at (0.0000, 0.5000, 0.4134).

For the volume, the calculation gives 523.47 Å³/cell. The value obtained for the formation energy from the elements is -0.113 eV/atom. The density is 6.00 g/cm3. For the density of states at the Fermi level, the calculation gives 7.31 states/eV/cell.


Record 20
Li2Cd3Sn2: relaxed, PBE.

The space group is C2/m (No. 12) and the conventional cell measures 9.8536, 4.3840 and 7.1920 Å, with angles of 90.00, 96.78 and 90.00 degrees. Symmetry generates all atoms from Li at (0.0713, 0.0000, 0.2219), Cd at (0.0000, 0.5000, 0.5000), Cd at (0.2130, 0.0000, 0.6340) and Sn at (0.1405, 0.5000, 0.9258).

For the volume, the calculation gives 308.51 Å³/cell. The value obtained for the formation energy from the elements is -0.153 eV/atom. The density is 6.34 g/cm3. For the density of states at the Fermi level, the calculation gives 5.71 states/eV/cell.


Record 21
LiCdSn3: relaxed, PBE.

The space group is Pm-3m (No. 221) and the conventional cell measures 5.0803, 5.0803 and 5.0803 Å, with angles of 90.00, 90.00 and 90.00 degrees. Symmetry generates all atoms from Li at (0.0000, 0.0000, 0.0000), Cd at (0.5000, 0.5000, 0.5000) and Sn at (0.0000, 0.0000, 0.5000).

For the volume, the calculation gives 131.12 Å³/cell. The value obtained for the formation energy from the elements is 0.192 eV/atom. The density is 6.02 g/cm3. For the density of states at the Fermi level, the calculation gives 2.81 states/eV/cell.


Record 22
Li4Cd2Sn5: relaxed, PBE.

The space group is P2/m (No. 10) and the conventional cell measures 8.8491, 3.2039 and 9.5956 Å, with angles of 90.00, 117.00 and 90.00 degrees. Symmetry generates all atoms from Li at (0.0173, 0.0000, 0.2757), Li at (0.4677, 0.0000, 0.7921), Cd at (0.3074, 0.5000, 0.9421), Sn at (0.0000, 0.5000, 0.0000), Sn at (0.1932, 0.5000, 0.5753) and Sn at (0.3419, 0.5000, 0.3299).

For the volume, the calculation gives 242.40 Å³/cell. The value obtained for the formation energy from the elements is -0.207 eV/atom. The density is 5.80 g/cm3. For the density of states at the Fermi level, the calculation gives 3.14 states/eV/cell.


Record 23
Li3CdSn: relaxed, PBE.

The space group is P2_1/m (No. 11) and the conventional cell measures 4.7627, 6.1289 and 7.1015 Å, with angles of 90.00, 109.51 and 90.00 degrees. Symmetry generates all atoms from Li at (0.0062, 0.2500, 0.0101), Li at (0.1941, 0.0073, 0.3893), Cd at (0.3893, 0.2500, 0.7768) and Sn at (0.3830, 0.7500, 0.7679).

For the volume, the calculation gives 195.39 Å³/cell. The value obtained for the formation energy from the elements is -0.268 eV/atom. The density is 4.28 g/cm3. For the density of states at the Fermi level, the calculation gives 2.27 states/eV/cell.